[1]
Entry from Alexandria: crystalline SrTb3Tl4 at its relaxed geometry (PBE).

Calculated values
total magnetic moment: 0.0 μB/cell
electronic total energy: -3.468 eV/atom
space-group type: P4/mmm
ΔH_f (0 K): -338 meV/atom

Unit cell a=5.5009 b=5.5009 c=7.6883 alpha=90.00 beta=90.00 gamma=90.00
With the nearest neighbours (Å) after each atom.
Fractional coordinates of all 8 atoms:
Sr: 0.0000 0.0000 0.0000  8 Tl 3.40
Tb: 0.0000 0.0000 0.5000  8 Tl 3.32
Tb: 0.5000 0.5000 0.0000  8 Tl 3.40
Tb: 0.5000 0.5000 0.5000  8 Tl 3.32
Tl: 0.0000 0.5000 0.2590  6 Tb 3.32-3.40, 2 Sr 3.40, 1 Tl 3.71
Tl: 0.0000 0.5000 0.7410  6 Tb 3.32-3.40, 2 Sr 3.40, 1 Tl 3.71
Tl: 0.5000 0.0000 0.2590  6 Tb 3.32-3.40, 2 Sr 3.40, 1 Tl 3.71
Tl: 0.5000 0.0000 0.7410  6 Tb 3.32-3.40, 2 Sr 3.40, 1 Tl 3.71

[2]
Entry from Alexandria: crystalline Sr2TlCd2 at its relaxed geometry (PBE).

Calculated values
polymorph energy (0 for the lowest one): 0.00 eV per formula unit
total magnetic moment: 0.0 μB/cell
electronic total energy: -1.842 eV/atom
space-group type: C2/m
ΔH_f (0 K): -330 meV/atom

Unit cell a=6.5848 b=6.5848 c=12.0960 alpha=113.66 beta=113.66 gamma=44.51
With the nearest neighbours (Å) after each atom.
Fractional coordinates of all 10 atoms:
Sr: 0.0187 0.0187 0.3389  7 Cd 3.49-3.86, 4 Tl 3.52-3.77
Sr: 0.1919 0.1919 0.1092  6 Cd 3.48-3.62, 2 Tl 3.65
Sr: 0.8081 0.8081 0.8908  6 Cd 3.48-3.62, 2 Tl 3.65
Sr: 0.9813 0.9813 0.6611  7 Cd 3.49-3.86, 4 Tl 3.52-3.77
Tl: 0.2759 0.2759 0.6581  4 Cd 2.97-3.28
Tl: 0.7241 0.7241 0.3419  4 Cd 2.97-3.28
Cd: 0.3653 0.3653 0.4385  1 Cd 2.96, 3 Tl 2.97-3.28
Cd: 0.4779 0.4779 0.1111  1 Cd 2.96, 1 Tl 3.09
Cd: 0.5221 0.5221 0.8889  1 Cd 2.96, 1 Tl 3.09
Cd: 0.6347 0.6347 0.5615  1 Cd 2.96, 3 Tl 2.97-3.28

[3]
Entry from Alexandria: crystalline Si2H2Pd7 at its relaxed geometry (PBE).

Calculated values
total magnetic moment: 0.0 μB/cell
electronic total energy: -5.198 eV/atom
space-group type: C2/m

Unit cell a=5.5862 b=5.5862 c=4.9765 alpha=100.09 beta=100.09 gamma=92.42
With the nearest neighbours (Å) after each atom.
Fractional coordinates of all 11 atoms:
Si: 0.2407 0.7593 0.0000  6 Pd 2.37-2.48
Si: 0.7593 0.2407 0.0000  6 Pd 2.37-2.48
H: 0.2137 0.2137 0.4258  4 Pd 1.78-1.86
H: 0.7863 0.7863 0.5742  4 Pd 1.78-1.86
Pd: 0.0000 0.0000 0.5000  2 H 1.78
Pd: 0.1203 0.4817 0.2688  1 H 1.86
Pd: 0.3631 0.3631 0.7744  1 H 1.82
Pd: 0.4817 0.1203 0.2688  1 H 1.86
Pd: 0.5183 0.8797 0.7312  1 H 1.86
Pd: 0.6369 0.6369 0.2256  1 H 1.82
Pd: 0.8797 0.5183 0.7312  1 H 1.86

[4]
Entry from Alexandria: crystalline Pr4SmHo8 at its relaxed geometry (PBE).

Calculated values
total magnetic moment: 2.3 μB/cell
electronic total energy: -4.126 eV/atom
space-group type: R-3m
ΔH_f (0 K): 525 meV/atom

Unit cell a=7.8336 b=7.8336 c=7.8336 alpha=90.11 beta=90.11 gamma=90.11
With the nearest neighbours (Å) after each atom.
Fractional coordinates of all 13 atoms:
Pr: 0.0000 0.0000 0.0000  8 Ho 3.24-3.25
Pr: 0.0000 0.5000 0.5000  8 Ho 3.44
Pr: 0.5000 0.0000 0.5000  8 Ho 3.44
Pr: 0.5000 0.5000 0.0000  8 Ho 3.44
Sm: 0.5000 0.5000 0.5000  8 Ho 3.53-3.54, 6 Pr 3.92
Ho: 0.2394 0.2394 0.2394  4 Pr 3.24-3.44, 1 Sm 3.53
Ho: 0.2390 0.2390 0.7596  4 Pr 3.25-3.44, 1 Sm 3.54
Ho: 0.2390 0.7596 0.2390  4 Pr 3.25-3.44, 1 Sm 3.54
Ho: 0.2404 0.7610 0.7610  4 Pr 3.25-3.44, 1 Sm 3.54
Ho: 0.7596 0.2390 0.2390  4 Pr 3.25-3.44, 1 Sm 3.54
Ho: 0.7610 0.2404 0.7610  4 Pr 3.25-3.44, 1 Sm 3.54
Ho: 0.7610 0.7610 0.2404  4 Pr 3.25-3.44, 1 Sm 3.54
Ho: 0.7606 0.7606 0.7606  4 Pr 3.24-3.44, 1 Sm 3.53

[5]
Entry from Alexandria: crystalline SbAs2W at its relaxed geometry (PBE).

Calculated values
total magnetic moment: 0.0 μB/cell
electronic total energy: -5.854 eV/atom
space-group type: Cmmm

Unit cell a=4.8657 b=4.8657 c=3.2788 alpha=90.00 beta=90.00 gamma=104.69
With the nearest neighbours (Å) after each atom.
Fractional coordinates of all 4 atoms:
Sb: 0.0000 0.0000 0.0000  8 As 2.93, 2 W 2.97, 2 Sb 3.28
As: 0.0000 0.5000 0.5000  4 W 2.93, 4 Sb 2.93, 4 As 2.97-3.28
As: 0.5000 0.0000 0.5000  4 W 2.93, 4 Sb 2.93, 4 As 2.97-3.28
W: 0.5000 0.5000 0.0000  8 As 2.93, 2 Sb 2.97, 2 W 3.28

[6]
Entry from Alexandria: crystalline ZrSiRuAu2 at its relaxed geometry (PBE).

Calculated values
total magnetic moment: 3.2 μB/cell
electronic total energy: -4.495 eV/atom
space-group type: P4/mmm

Unit cell a=5.1111 b=5.1111 c=5.0144 alpha=90.00 beta=90.00 gamma=90.00
With the nearest neighbours (Å) after each atom.
Fractional coordinates of all 5 atoms:
Zr: 0.0000 0.0000 0.0000  2 Si 2.51, 4 Au 2.56
Si: 0.0000 0.0000 0.5000  2 Zr 2.51
Ru: 0.5000 0.5000 0.5000  8 Au 3.58, 4 Si 3.61
Au: 0.0000 0.5000 0.0000  2 Zr 2.56
Au: 0.5000 0.0000 0.0000  2 Zr 2.56

[7]
Entry from Alexandria: crystalline UBiN at its relaxed geometry (PBE).

Calculated values
polymorph energy (0 for the lowest one): 0.72 eV per formula unit
total magnetic moment: 1.4 μB/cell
electronic total energy: -8.467 eV/atom
space-group type: P-6m2

Unit cell a=3.7404 b=3.7404 c=5.3686 alpha=90.00 beta=90.00 gamma=120.00
With the nearest neighbours (Å) after each atom.
Fractional coordinates of all 3 atoms:
U: 0.0000 0.0000 0.0000  3 N 2.16
Bi: 0.6667 0.3333 0.5000  6 U 3.45, 6 N 3.45, 6 Bi 3.74
N: 0.3333 0.6667 0.0000  3 U 2.16

[8]
Entry from Alexandria: crystalline TmGa6Pd6 at its relaxed geometry (PBE).

Calculated values
total magnetic moment: 0.0 μB/cell
electronic total energy: -4.752 eV/atom
space-group type: Immm
ΔH_f (0 K): -614 meV/atom

Unit cell a=6.8854 b=6.8854 c=6.8854 alpha=132.93 beta=105.59 gamma=92.87
With the nearest neighbours (Å) after each atom.
Fractional coordinates of all 13 atoms:
Tm: 0.0000 0.0000 0.0000  8 Ga 2.92-3.24
Ga: 0.1766 0.6766 0.5000  6 Pd 2.59-2.60
Ga: 0.3418 0.3418 0.0000  6 Pd 2.64
Ga: 0.3509 0.0000 0.3509  1 Ga 2.48
Ga: 0.6491 0.0000 0.6491  1 Ga 2.48
Ga: 0.6582 0.6582 0.0000  6 Pd 2.64
Ga: 0.8234 0.3234 0.5000  6 Pd 2.59-2.60
Pd: 0.0000 0.0000 0.5000  6 Ga 2.59-2.87, 4 Pd 2.74-2.75
Pd: 0.0000 0.5000 0.0000  6 Ga 2.59-2.87, 4 Pd 2.74-2.75
Pd: 0.2392 0.5000 0.7392  6 Ga 2.60-2.90, 4 Pd 2.74
Pd: 0.5000 0.0000 0.0000  6 Ga 2.59-2.87, 4 Pd 2.74-2.75
Pd: 0.5000 0.5000 0.5000  6 Ga 2.59-2.87, 4 Pd 2.74-2.75
Pd: 0.7608 0.5000 0.2608  6 Ga 2.60-2.90, 4 Pd 2.74